A plane-wave DFT calculation with PBE-GGA was carried out for an optimized crystal structure of NaScAuS2.

abc: 6.4276 4.9964 6.9778
angles: 90.00 97.91 90.00
Closest atoms and distances in Å follow each position.
Element x y z (fractional)
Na1 0.0000 0.1089 0.2500  4 S 2.87-3.00
Na2 0.0000 0.8911 0.7500  4 S 2.87-3.00
Sc1 0.5000 0.4950 0.7500  4 S 2.56
Sc2 0.5000 0.5050 0.2500  4 S 2.56
Au1 0.5000 0.0000 0.0000  2 S 2.40
Au2 0.5000 0.0000 0.5000  2 S 2.40
S1 0.2340 0.3402 0.9687  1 Au 2.40, 2 Sc 2.56
S2 0.2340 0.6598 0.4687  1 Au 2.40, 2 Sc 2.56
S3 0.7660 0.3402 0.5313  1 Au 2.40, 2 Sc 2.56
S4 0.7660 0.6598 0.0313  1 Au 2.40, 2 Sc 2.56

Formation energy (no corrections) in eV per atom: -1.0436